(1)
First-principles (PBE) data for a geometry-optimized Tl2Pd structure, as listed in Alexandria. Values from VASP.

Summary:
calculated volume	23.2	Å³ per atom
calculated formation energy	-0.13	eV/atom
total magnetization	0.000	μB/f.u.
symmetry	I4/mcm
raw total energy	-20.6	eV/cell

```
&SYSTEM
  ibrav = 0, nat = 6, ntyp = 2
/
ATOMIC_SPECIES
Tl 204.38 Tl.upf
Pd 106.42 Pd.upf
CELL_PARAMETERS angstrom
-1.123 4.754 2.902
-2.640 -4.763 1.619
5.540 -0.989 0.783
ATOMIC_POSITIONS crystal
Tl 0.334 0.834 0.168
Tl 0.166 0.334 0.500
Tl 0.834 0.666 0.500
Tl 0.666 0.166 0.832
Pd 0.750 0.750 0.000
Pd 0.250 0.250 0.000
```

***

(2)
First-principles (PBE) data for a geometry-optimized Tl7Pd5 structure, as listed in Alexandria. Values from VASP.

Summary:
calculated volume	23.2	Å³ per atom
calculated formation energy	-0.15	eV/atom
total magnetization	0.000	μB/f.u.
symmetry	Cm
raw total energy	-44.4	eV/cell

```
&SYSTEM
  ibrav = 0, nat = 12, ntyp = 2
/
ATOMIC_SPECIES
Tl 204.38 Tl.upf
Pd 106.42 Pd.upf
CELL_PARAMETERS angstrom
6.060 0.186 3.007
2.898 6.507 1.430
0.201 0.124 7.261
ATOMIC_POSITIONS crystal
Tl 0.303 0.000 0.432
Tl 0.735 0.569 0.000
Tl 0.303 0.432 0.000
Tl 0.735 0.000 0.569
Tl 0.397 0.501 0.501
Tl 0.889 0.000 0.000
Tl 0.898 0.499 0.499
Pd 0.412 0.773 0.773
Pd 0.184 0.227 0.773
Pd 0.184 0.773 0.227
Pd 0.958 0.226 0.226
Pd 0.488 0.000 0.000
```

***

What is the calculated volume in the second record? 23.2 Å³ per atom